First-principles (PBE) data for crystalline La3Al4Cu2 at its relaxed geometry, as listed in Alexandria. Values from VASP.

The structure in Quantum ESPRESSO input format:
```
&SYSTEM
  ibrav = 0, nat = 9, ntyp = 3
/
ATOMIC_SPECIES
La 138.91 La.upf
Al 26.98 Al.upf
Cu 63.55 Cu.upf
ATOMIC_POSITIONS angstrom
La 0.000 0.000 0.000
La 3.571 0.000 2.579
La 5.459 0.000 5.879
Al 0.415 0.000 3.586
Al 1.406 0.000 7.806
Al 7.625 0.000 0.652
Al 8.616 0.000 4.873
Cu 2.341 0.000 5.516
Cu 6.690 0.000 2.942
CELL_PARAMETERS angstrom
5.384 -2.295 0.000
5.384 2.295 0.000
-1.738 0.000 8.458
```

Summary:
M_tot ... 0.00 μB per formula unit
Volume ... 23.22 Å³ per atom
ΔE_f ... -357 meV/atom
Space group ... C2/m, No. 12



First-principles (PBE) data for crystalline Li2CrW at its relaxed geometry, as listed in Alexandria. Values from VASP.

The structure in Quantum ESPRESSO input format:
```
&SYSTEM
  ibrav = 0, nat = 4, ntyp = 3
/
ATOMIC_SPECIES
Li 6.94 Li.upf
Cr 52.00 Cr.upf
W 183.84 W.upf
ATOMIC_POSITIONS angstrom
Li 1.216 2.349 0.000
Li 1.216 -2.349 0.000
Cr 0.000 0.000 1.252
W 2.431 0.000 1.252
CELL_PARAMETERS angstrom
2.431 -4.699 0.000
2.431 4.699 0.000
0.000 0.000 2.504
```

Summary:
M_tot ... 0.74 μB per formula unit
Volume ... 14.30 Å³ per atom
ΔE_f ... 609 meV/atom
Space group ... Cmmm, No. 65
Energy above the lowest structure with this stoichiometry ... 0.281 eV per atom



First-principles (PBE) data for crystalline Pr2SmLu at its relaxed geometry, as listed in Alexandria. Values from VASP.

The structure in Quantum ESPRESSO input format:
```
&SYSTEM
  ibrav = 0, nat = 4, ntyp = 3
/
ATOMIC_SPECIES
Pr 140.91 Pr.upf
Sm 150.36 Sm.upf
Lu 174.97 Lu.upf
ATOMIC_POSITIONS angstrom
Pr 0.000 2.574 0.000
Pr 2.574 0.000 0.000
Sm 0.000 0.000 2.543
Lu 2.574 2.574 2.543
CELL_PARAMETERS angstrom
5.147 0.000 0.000
0.000 5.147 0.000
0.000 0.000 5.086
```

Summary:
M_tot ... 0.01 μB per formula unit
Volume ... 33.68 Å³ per atom
ΔE_f ... 16 meV/atom
Space group ... P4/mmm, No. 123
Energy above the lowest structure with this stoichiometry ... 0.000 eV per atom



First-principles (PBE) data for crystalline CaTl3Au3 at its relaxed geometry, as listed in Alexandria. Values from VASP.

The structure in Quantum ESPRESSO input format:
```
&SYSTEM
  ibrav = 0, nat = 14, ntyp = 3
/
ATOMIC_SPECIES
Ca 40.08 Ca.upf
Tl 204.38 Tl.upf
Au 196.97 Au.upf
ATOMIC_POSITIONS angstrom
Ca 0.000 0.000 0.000
Ca 3.912 3.912 3.912
Tl 0.000 1.956 3.912
Tl 0.000 5.867 3.912
Tl 1.956 3.912 0.000
Tl 3.912 0.000 1.956
Tl 3.912 0.000 5.867
Tl 5.867 3.912 0.000
Au 0.000 3.912 1.956
Au 0.000 3.912 5.867
Au 1.956 0.000 3.912
Au 3.912 1.956 0.000
Au 3.912 5.867 0.000
Au 5.867 0.000 3.912
CELL_PARAMETERS angstrom
7.823 0.000 0.000
0.000 7.823 0.000
0.000 0.000 7.823
```

Summary:
M_tot ... 0.00 μB per formula unit
Volume ... 34.20 Å³ per atom
ΔE_f ... 153 meV/atom
Space group ... Pm-3n, No. 223



First-principles (PBE) data for crystalline Cd2POs at its relaxed geometry, as listed in Alexandria. Values from VASP.

The structure in Quantum ESPRESSO input format:
```
&SYSTEM
  ibrav = 0, nat = 4, ntyp = 3
/
ATOMIC_SPECIES
Cd 112.41 Cd.upf
P 30.97 P.upf
Os 190.23 Os.upf
ATOMIC_POSITIONS angstrom
Cd 0.000 0.000 0.000
Cd 1.492 1.492 2.502
P 1.492 1.492 5.767
Os 0.000 0.000 4.609
CELL_PARAMETERS angstrom
2.984 0.000 0.000
0.000 2.984 0.000
0.000 0.000 8.270
```

Summary:
M_tot ... 0.00 μB per formula unit
Volume ... 18.42 Å³ per atom
ΔE_f ... 59 meV/atom
Space group ... P4mm, No. 99
Energy above the lowest structure with this stoichiometry ... 0.000 eV per atom



First-principles (PBE) data for crystalline MgBeSi2 at its relaxed geometry, as listed in Alexandria. Values from VASP.

The structure in Quantum ESPRESSO input format:
```
&SYSTEM
  ibrav = 0, nat = 4, ntyp = 3
/
ATOMIC_SPECIES
Mg 24.30 Mg.upf
Be 9.01 Be.upf
Si 28.09 Si.upf
ATOMIC_POSITIONS angstrom
Mg 0.000 0.000 0.000
Be 0.000 0.000 3.725
Si 1.851 0.000 2.170
Si 1.851 0.000 5.281
CELL_PARAMETERS angstrom
1.851 -2.079 0.000
1.851 2.079 0.000
0.000 0.000 7.451
```

Summary:
M_tot ... 0.00 μB per formula unit
Volume ... 14.34 Å³ per atom
Energy relative to the elements, uncorrected ... 301 meV/atom
Space group ... Cmmm, No. 65
Energy above the lowest structure with this stoichiometry ... 0.200 eV per atom